Material: Pr2PaTl3Se6
Method: DFT, PBE
State: optimized geometry

Lattice parameters (Å, degrees): 7.4231 12.8457 8.2038 90.00 107.52 90.00
Last column: nearest neighbours and their distance in Å.
Space group C2/m (No. 12)
Symmetry-distinct sites (fractional):
Pr1 0.0000 0.1662 0.0000 [4 per cell]  6 Se 3.02-3.03
Pa1 0.0000 0.5000 0.0000 [2 per cell]  6 Se 2.89-2.90
Tl1 0.0000 0.0000 0.5000 [2 per cell]  6 Se 3.32-3.42
Tl2 0.0000 0.3300 0.5000 [4 per cell]  6 Se 3.32-3.40
Se1 0.2299 0.3401 0.2105 [8 per cell]  1 Pa 2.89, 2 Pr 3.02
Se2 0.2479 0.5000 0.7865 [4 per cell]  1 Pa 2.90, 2 Pr 3.03

Formation energy without anion corrections (eV per atom): -1.223


Material: ZnReSe2
Method: DFT, PBE
State: optimized geometry

Lattice parameters (Å, degrees): 3.0336 3.0336 8.9687 90.00 90.00 90.00
Last column: nearest neighbours and their distance in Å.
Space group P4/mmm (No. 123)
Symmetry-distinct sites (fractional):
Zn1 0.0000 0.0000 0.0000 [1 per cell]  4 Zn 3.03
Re1 0.0000 0.0000 0.5000 [1 per cell]  8 Se 2.66
Se1 0.5000 0.5000 0.3251 [2 per cell]  4 Re 2.66

Formation energy without anion corrections (eV per atom): 0.196
Energy relative to the lowest polymorph listed for this composition (meV per atom): 120


Material: Ho4CdInRu2
Method: DFT, PBE
State: optimized geometry

Lattice parameters (Å, degrees): 5.0174 5.0174 24.6921 90.00 90.00 120.00
Last column: nearest neighbours and their distance in Å.
Space group R-3m (No. 166, hexagonal axes)
Symmetry-distinct sites (fractional):
Ho1 0.0000 0.0000 0.1236 [6 per cell]  1 Cd 3.05, 4 Ru 3.06-3.11, 3 In 3.09
Ho2 0.0000 0.0000 0.3742 [6 per cell]  3 Cd 3.07, 4 Ru 3.07-3.08, 1 In 3.11
Cd1 0.0000 0.0000 0.0000 [3 per cell]  8 Ho 3.05-3.07
In1 0.0000 0.0000 0.5000 [3 per cell]  8 Ho 3.09-3.11
Ru1 0.0000 0.0000 0.2496 [6 per cell]  8 Ho 3.06-3.11

ΔE_f (kJ/mol of formula units): -252


Material: MnCd2Re
Method: DFT, PBE
State: optimized geometry

Lattice parameters (Å, degrees): 7.4638 7.4638 5.4459 90.00 90.00 90.00
Last column: nearest neighbours and their distance in Å.
Space group I-42d (No. 122)
Symmetry-distinct sites (fractional):
Mn1 0.0000 0.0000 0.0000 [4 per cell]  4 Cd 2.69, 2 Re 2.72
Cd1 0.2427 0.2500 0.1250 [8 per cell]  2 Mn 2.69, 2 Cd 2.73, 2 Re 2.76
Re1 0.0000 0.0000 0.5000 [4 per cell]  2 Mn 2.72, 4 Cd 2.76

Energy relative to the lowest polymorph listed for this composition (meV per atom): 836
ΔE_f (kJ/mol of formula units): 415